Entry 1:
Density functional theory data (PBE-GGA) for a geometry-optimized PaV2Te6 structure.

The space group is C2/m (No. 12) and the conventional cell measures 18.162, 3.988 and 8.686 Å, with angles of 90.00, 112.07 and 90.00 degrees. The distinct sites, in fractional coordinates, are Pa at (0.000, 0.000, 0.000), V at (0.178, 0.500, 0.356), Te at (0.008, 0.500, 0.265), Te at (0.166, 0.000, 0.566) and Te at (0.177, 0.000, 0.125).

Its formation energy from raw total energies is -453 meV per atom. The value obtained for the total DFT energy (no corrections) is -5.629 eV/atom. The theoretical density comes out at 6.3 g/cm3.

Entry 2:
Density functional theory data (PBE-GGA) for a geometry-optimized Hf2InGe structure.

The space group is Fm-3m (No. 225) and the conventional cell measures 6.889, 6.889 and 6.889 Å, with angles of 90.00, 90.00 and 90.00 degrees. The distinct sites, in fractional coordinates, are Hf at (0.250, 0.250, 0.250), In at (0.000, 0.000, 0.000) and Ge at (0.000, 0.000, 0.500).

The value obtained for the total DFT energy (no corrections) is -6.876 eV/atom. The theoretical density comes out at 11.1 g/cm3.

Entry 3:
Density functional theory data (PBE-GGA) for a geometry-optimized CaLaGa structure.

The space group is C2/m (No. 12) and the conventional cell measures 16.725, 5.194 and 4.106 Å, with angles of 90.00, 93.89 and 90.00 degrees. The distinct sites, in fractional coordinates, are Ca at (0.000, 0.000, 0.000), Ca at (0.000, 0.500, 0.500), La at (0.186, 0.000, 0.610) and Ga at (0.142, 0.500, 0.030).

The value obtained for the total DFT energy (no corrections) is -3.627 eV/atom. The theoretical density comes out at 4.6 g/cm3.

Q: Among the records above, which one has the lowest total DFT energy (no corrections)?
A: Hf2InGe

Q: Look up the theoretical density of the third one.
A: 4.6 g/cm3